Record 1
A relaxed structure of Tb3TmSc4. Source: the Alexandria database, functional PBE.

Properties
Volume (Å³ per cell): 450
Crystal system: orthorhombic
Calculated formation energy (eV per atom): 0.029
Symmetry: Pmn2_1 (31)
Density (kg/m3): 6098

Lattice parameters (Å, degrees): 6.005 6.945 10.779 90.00 90.00 90.00
Fractional positions:
Tb 0.643 0.634 0.000
Tb 0.986 0.634 0.250
Tb 0.486 0.366 0.250
Tb 0.143 0.366 0.500
Tb 0.486 0.366 0.750
Tb 0.986 0.634 0.750
Tm 0.143 0.366 0.000
Tm 0.643 0.634 0.500
Sc 0.151 0.884 0.000
Sc 0.651 0.117 0.000
Sc 0.978 0.117 0.249
Sc 0.478 0.883 0.251
Sc 0.151 0.883 0.500
Sc 0.651 0.116 0.500
Sc 0.478 0.883 0.749
Sc 0.978 0.117 0.751


Record 2
A relaxed structure of Tb5Tm3Sc. Source: the Alexandria database, functional PBE.

Properties
Volume (Å³ per cell): 570
Crystal system: tetragonal
Calculated formation energy (eV per atom): 0.323
Symmetry: I4/mcm (140)
Density (kg/m3): 7847

Lattice parameters (Å, degrees): 9.066 9.066 9.443 118.69 118.69 90.00
Fractional positions:
Tb 0.066 0.566 0.736
Tb 0.670 0.170 0.736
Tb 0.170 0.066 0.736
Tb 0.566 0.670 0.736
Tb 0.934 0.434 0.264
Tb 0.330 0.830 0.264
Tb 0.830 0.934 0.264
Tb 0.434 0.330 0.264
Tb 0.500 0.500 0.000
Tb 0.000 0.000 0.000
Tm 0.611 0.111 0.000
Tm 0.389 0.889 0.000
Tm 0.889 0.611 0.000
Tm 0.111 0.389 0.000
Tm 0.250 0.250 0.500
Tm 0.750 0.750 0.500
Sc 0.750 0.250 0.500
Sc 0.250 0.750 0.500


Record 3
A relaxed structure of Tb2TmSc2. Source: the Alexandria database, functional PBE.

Properties
Volume (Å³ per cell): 296
Relative energy among the computed polymorphs (meV per atom): 31
Crystal system: orthorhombic
Calculated formation energy (eV per atom): 0.188
Symmetry: Imma (74)
Density (kg/m3): 6470

Lattice parameters (Å, degrees): 9.400 5.593 7.849 69.14 126.78 90.00
Fractional positions:
Tb 0.415 0.924 0.652
Tb 0.763 0.576 0.348
Tb 0.585 0.076 0.348
Tb 0.237 0.424 0.652
Tm 0.896 0.750 0.000
Tm 0.104 0.250 0.000
Sc 0.667 0.386 0.728
Sc 0.061 0.886 0.728
Sc 0.333 0.614 0.272
Sc 0.939 0.114 0.272


Record 4
A relaxed structure of Tb6Tm3Sc. Source: the Alexandria database, functional PBE.

Properties
Volume (Å³ per cell): 624
Relative energy among the computed polymorphs (meV per atom): 0
Crystal system: orthorhombic
Calculated formation energy (eV per atom): 0.141
Symmetry: Cmc2_1 (36)
Density (kg/m3): 8014

Lattice parameters (Å, degrees): 6.103 10.863 10.863 119.98 90.00 90.00
Fractional positions:
Tb 0.040 0.711 0.619
Tb 0.540 0.619 0.711
Tb 0.351 0.526 0.948
Tb 0.851 0.948 0.526
Tb 0.431 0.953 0.047
Tb 0.650 0.276 0.724
Tb 0.150 0.724 0.276
Tb 0.931 0.047 0.953
Tb 0.351 0.052 0.474
Tb 0.851 0.474 0.052
Tb 0.040 0.381 0.289
Tb 0.540 0.289 0.381
Tm 0.461 0.946 0.727
Tm 0.961 0.727 0.946
Tm 0.070 0.388 0.612
Tm 0.570 0.612 0.388
Tm 0.961 0.054 0.273
Tm 0.461 0.273 0.054
Sc 0.131 0.204 0.796
Sc 0.631 0.796 0.204


Record 5
A relaxed structure of Tb3Tm2Sc3. Source: the Alexandria database, functional PBE.

Properties
Volume (Å³ per cell): 228
Relative energy among the computed polymorphs (meV per atom): 0
Crystal system: monoclinic
Calculated formation energy (eV per atom): 0.028
Symmetry: C2/m (12)
Density (kg/m3): 6909

Lattice parameters (Å, degrees): 3.466 5.933 11.598 75.57 81.41 90.00
Fractional positions:
Tb 0.623 0.965 0.753
Tb 0.500 0.500 0.000
Tb 0.377 0.035 0.247
Tm 0.253 0.256 0.495
Tm 0.747 0.744 0.505
Sc 0.124 0.461 0.751
Sc 0.876 0.539 0.249
Sc 0.000 0.000 0.000


Record 6
A relaxed structure of TbTmSc2. Source: the Alexandria database, functional PBE.

Properties
Volume (Å³ per cell): 111
Relative energy among the computed polymorphs (meV per atom): 0
Crystal system: trigonal
Calculated formation energy (eV per atom): 0.053
Symmetry: R3m (160)
Density (kg/m3): 6265

Lattice parameters (Å, degrees): 3.431 3.431 11.039 81.06 81.06 60.00
Fractional positions:
Tb 0.501 0.501 0.498
Tm 0.666 0.666 0.001
Sc 0.083 0.083 0.752
Sc 0.250 0.250 0.249


Record 7
A relaxed structure of TbTm2Sc5. Source: the Alexandria database, functional PBE.

Properties
Volume (Å³ per cell): 213
Relative energy among the computed polymorphs (meV per atom): 40
Crystal system: tetragonal
Calculated formation energy (eV per atom): 0.058
Symmetry: I4/mmm (139)
Density (kg/m3): 5618

Lattice parameters (Å, degrees): 6.686 6.686 6.686 91.08 119.38 119.38
Fractional positions:
Tb 0.000 0.778 0.778
Tm 0.500 0.278 0.778
Tm 0.500 0.778 0.278
Sc 0.500 0.778 0.778
Sc 0.000 0.778 0.278
Sc 0.000 0.278 0.778
Sc 0.500 0.278 0.278
Sc 0.000 0.278 0.278


Record 8
A relaxed structure of Tb2TmSc7. Source: the Alexandria database, functional PBE.

Properties
Volume (Å³ per cell): 264
Relative energy among the computed polymorphs (meV per atom): 0
Crystal system: monoclinic
Calculated formation energy (eV per atom): 0.056
Symmetry: C2/m (12)
Density (kg/m3): 5042

Lattice parameters (Å, degrees): 3.349 10.046 11.063 123.69 98.75 59.97
Fractional positions:
Tb 0.492 0.707 0.105
Tb 0.508 0.293 0.895
Tm 0.000 0.000 0.000
Sc 0.000 0.803 0.406
Sc 0.000 0.197 0.594
Sc 0.487 0.112 0.309
Sc 0.513 0.888 0.691
Sc 0.994 0.407 0.209
Sc 0.006 0.593 0.791
Sc 0.500 0.500 0.500


Record 9
A relaxed structure of Tb4TmSc3. Source: the Alexandria database, functional PBE.

Properties
Volume (Å³ per cell): 230
Crystal system: orthorhombic
Calculated formation energy (eV per atom): 0.049
Symmetry: Immm (71)
Density (kg/m3): 6777

Lattice parameters (Å, degrees): 4.814 4.905 10.337 103.72 103.46 89.99
Fractional positions:
Sc 0.000 0.500 0.000
Sc 0.877 0.877 0.754
Sc 0.123 0.123 0.246
Tm 0.500 0.000 0.000
Tb 0.749 0.249 0.498
Tb 0.251 0.751 0.502
Tb 0.379 0.379 0.758
Tb 0.621 0.621 0.242


Record 10
A relaxed structure of Tb5Tm4Sc4. Source: the Alexandria database, functional PBE.

Properties
Volume (Å³ per cell): 376
Crystal system: tetragonal
Calculated formation energy (eV per atom): 0.044
Symmetry: I4/m (87)
Density (kg/m3): 7288

Lattice parameters (Å, degrees): 4.873 9.115 9.115 85.90 74.49 74.49
Fractional positions:
Tb 0.693 0.849 0.765
Tb 0.307 0.151 0.235
Tb 0.000 0.000 0.000
Tb 0.542 0.765 0.151
Tb 0.458 0.235 0.849
Tm 0.922 0.461 0.695
Tm 0.617 0.305 0.461
Tm 0.078 0.539 0.305
Tm 0.383 0.695 0.539
Sc 0.767 0.388 0.078
Sc 0.233 0.612 0.922
Sc 0.845 0.922 0.388
Sc 0.155 0.078 0.612


Record 11
A relaxed structure of Tb4Tm5Sc2. Source: the Alexandria database, functional PBE.

Properties
Volume (Å³ per cell): 343
Relative energy among the computed polymorphs (meV per atom): 232
Crystal system: orthorhombic
Calculated formation energy (eV per atom): 0.291
Symmetry: Immm (71)
Density (kg/m3): 7602

Lattice parameters (Å, degrees): 3.431 9.000 12.107 111.82 98.15 90.00
Fractional positions:
Tb 0.000 0.303 0.000
Tb 0.599 0.599 0.197
Tb 0.000 0.697 0.000
Tb 0.401 0.401 0.803
Tm 0.848 0.051 0.697
Tm 0.848 0.646 0.697
Tm 0.152 0.354 0.303
Tm 0.152 0.949 0.303
Tm 0.500 0.000 0.000
Sc 0.270 0.270 0.541
Sc 0.730 0.730 0.459


Record 12
A relaxed structure of Tb19Tm6Sc4. Source: the Alexandria database, functional PBE.

Properties
Volume (Å³ per cell): 931
Crystal system: cubic
Calculated formation energy (eV per atom): 0.386
Symmetry: I23 (197)
Density (kg/m3): 7516

Lattice parameters (Å, degrees): 10.653 10.653 10.653 109.47 109.47 109.47
Fractional positions:
Tb 0.739 0.000 0.739
Tb 0.261 0.000 0.261
Tb 0.261 0.261 0.000
Tb 0.739 0.739 0.000
Tb 0.000 0.739 0.739
Tb 0.000 0.261 0.261
Tb 0.000 0.000 0.000
Tb 0.196 0.212 0.539
Tb 0.804 0.343 0.017
Tb 0.673 0.657 0.461
Tb 0.017 0.804 0.343
Tb 0.327 0.788 0.983
Tb 0.539 0.196 0.212
Tb 0.983 0.327 0.788
Tb 0.461 0.673 0.657
Tb 0.788 0.983 0.327
Tb 0.343 0.017 0.804
Tb 0.212 0.539 0.196
Tb 0.657 0.461 0.673
Tm 0.372 0.500 0.872
Tm 0.628 0.500 0.128
Tm 0.128 0.628 0.500
Tm 0.872 0.372 0.500
Tm 0.500 0.872 0.372
Tm 0.500 0.128 0.628
Sc 0.000 0.000 0.646
Sc 0.000 0.646 0.000
Sc 0.354 0.354 0.354
Sc 0.646 0.000 0.000


| no. | DFT total energy (eV per atom) |
| --- | --- |
| 1 | -5.432 |
| 2 | -4.443 |
| 3 | -5.091 |
| 4 | -4.611 |
| 5 | -5.201 |
| 6 | -5.389 |
| 7 | -5.596 |
| 8 | -5.749 |
| 9 | -5.199 |
| 10 | -5.061 |
| 11 | -4.577 |
| 12 | -4.446 |